Re2SbSe after structural relaxation. Source: Alexandria via LeMat-Bulk, functional PBEsol.

Formation energy from raw total energies = 0.91 eV per atom
Volume = 71 Å³ per cell
Total magnetic moment = 0.0001 μB/atom
Excess energy over the best structure of this formula in the dataset = 592.8 meV/atom
DOS at the Fermi energy = 3.18 states/eV per cell

a = 3.938 Å, b = 4.067 Å, c = 5.214 Å
α = 109.46°, β = 108.59°, γ = 98.67°
Fractional positions:
Re 0.000 0.000 0.500
Re 0.500 0.500 0.500
Sb 0.500 0.000 0.000
Se 0.000 0.500 0.000